The following is a GGA-PBEsol calculation of crystalline Cr2PRu at its relaxed geometry, from Alexandria via LeMat-Bulk.

The symmetry is Pmmm. As for the calculated total energy: -37.08 eV for the cell shown. The calculated formation energy is -0.157 eV/atom.

Cell lengths 2.893, 3.932, 4.125 Å; angles 90.00, 90.00, 90.00 degrees
Fractional positions:
Cr  0.000  0.000  0.000
Cr  0.500  0.500  0.000
P  0.000  0.500  0.500
Ru  0.500  0.000  0.500

***

The following is a GGA-PBEsol calculation of crystalline RuO4 at its relaxed geometry, from Alexandria via LeMat-Bulk.

The symmetry is P-43n. As for the calculated total energy: -273.96 eV for the cell shown. The formation energy without anion corrections is -0.615 eV per atom.

Cell lengths 8.597, 8.597, 8.597 Å; angles 90.00, 90.00, 90.00 degrees
Fractional positions:
Ru  0.000  0.000  0.000
Ru  0.000  0.250  0.500
Ru  0.000  0.750  0.500
Ru  0.250  0.500  0.000
Ru  0.500  0.000  0.250
Ru  0.500  0.000  0.750
Ru  0.500  0.500  0.500
Ru  0.750  0.500  0.000
O  0.113  0.113  0.887
O  0.113  0.137  0.385
O  0.113  0.863  0.615
O  0.113  0.887  0.113
O  0.115  0.363  0.613
O  0.115  0.637  0.387
O  0.137  0.385  0.113
O  0.137  0.615  0.887
O  0.363  0.387  0.885
O  0.363  0.613  0.115
O  0.385  0.113  0.137
O  0.385  0.887  0.863
O  0.387  0.115  0.637
O  0.387  0.387  0.387
O  0.387  0.613  0.613
O  0.387  0.885  0.363
O  0.613  0.115  0.363
O  0.613  0.387  0.613
O  0.613  0.613  0.387
O  0.613  0.885  0.637
O  0.615  0.113  0.863
O  0.615  0.887  0.137
O  0.637  0.387  0.115
O  0.637  0.613  0.885
O  0.863  0.385  0.887
O  0.863  0.615  0.113
O  0.885  0.363  0.387
O  0.885  0.637  0.613
O  0.887  0.113  0.113
O  0.887  0.137  0.615
O  0.887  0.863  0.385
O  0.887  0.887  0.887

***

Values of calculated volume, in order: 46.9, 635.3, all in Å³ per cell.